# 1
VASP calculation (PBE-GGA) on a relaxed structure of Er4ScAg5.

Lattice parameters (Å, degrees): 3.540 3.540 18.151 90.00 90.00 90.00
Space group P4/mmm (No. 123)
One atom of each set of equivalent atoms:
Er1 0.000 0.000 0.102 [2 per cell]
Er2 0.000 0.000 0.306 [2 per cell]
Sc1 0.000 0.000 0.500 [1 per cell]
Ag1 0.500 0.500 0.000 [1 per cell]
Ag2 0.500 0.500 0.204 [2 per cell]
Ag3 0.500 0.500 0.410 [2 per cell]

Properties
density: 9.2 g/cm³
energy of formation from the pure elements: -3.20 eV per formula unit

***

# 2
VASP calculation (PBE-GGA) on a relaxed structure of ErSc2Ag.

Lattice parameters (Å, degrees): 6.288 9.962 6.175 90.00 90.00 90.00
Space group Pnma (No. 62)
One atom of each set of equivalent atoms:
Er1 0.018 0.250 0.098 [4 per cell]
Sc1 0.180 0.531 0.315 [8 per cell]
Ag1 0.085 0.250 0.574 [4 per cell]

Properties
density: 6.3 g/cm³
energy relative to the lowest polymorph listed for this composition: 0 meV per atom
energy of formation from the pure elements: -0.43 eV per formula unit

***

# 3
VASP calculation (PBE-GGA) on a relaxed structure of ErScAg2.

Lattice parameters (Å, degrees): 7.051 7.051 7.051 90.00 90.00 90.00
Space group Fm-3m (No. 225)
One atom of each set of equivalent atoms:
Er1 0.000 0.000 0.000 [4 per cell]
Sc1 0.000 0.000 0.500 [4 per cell]
Ag1 0.250 0.250 0.250 [8 per cell]

Properties
density: 8.1 g/cm³
energy relative to the lowest polymorph listed for this composition: 9 meV per atom
energy of formation from the pure elements: -1.15 eV per formula unit

***

# 4
VASP calculation (PBE-GGA) on a relaxed structure of ErSc2Ag.

Lattice parameters (Å, degrees): 3.4017 3.4017 29.5644 90.00 90.00 120.00
Space group R3m (No. 160, hexagonal axes)
One atom of each set of equivalent atoms:
Er1 0.0000 0.0000 0.0000 [3 per cell]
Sc1 0.0000 0.0000 0.2422 [3 per cell]
Sc2 0.0000 0.0000 0.4257 [3 per cell]
Ag1 0.0000 0.0000 0.8345 [3 per cell]

Properties
density: 6.1 g/cm³
energy relative to the lowest polymorph listed for this composition: 131 meV per atom
energy of formation from the pure elements: 0.09 eV per formula unit

***

Question: Which value of energy of formation from the pure elements does entry 3 give?
Answer: -1.15 eV per formula unit